(1)
This record from Alexandria describes crystalline Tb5PrDy6 at its relaxed geometry. The functional is PBE-GGA.

a b c (Å): 6.169 6.169 11.804
angles (deg): 94.97 94.97 119.96
Positions (direct):
Tb: 0.000 0.000 0.000
Tb: 0.167 0.833 0.500
Tb: 0.333 0.667 0.000
Tb: 0.667 0.333 0.000
Tb: 0.833 0.167 0.500
Pr: 0.500 0.500 0.500
Dy: 0.082 0.416 0.248
Dy: 0.249 0.249 0.751
Dy: 0.416 0.082 0.248
Dy: 0.584 0.918 0.752
Dy: 0.751 0.751 0.249
Dy: 0.918 0.584 0.752

Space-group type: C2/m
Energy of formation from the pure elements in eV per atom: 0.02

***

(2)
This record from Alexandria describes crystalline Fe2CoW2 at its relaxed geometry. The functional is PBE-GGA.

a b c (Å): 6.754 6.754 2.876
angles (deg): 90.00 90.00 90.00
Positions (direct):
Fe: 0.131 0.369 0.000
Fe: 0.369 0.869 0.000
Fe: 0.631 0.131 0.000
Fe: 0.869 0.631 0.000
Co: 0.000 0.000 0.000
Co: 0.500 0.500 0.000
W: 0.171 0.671 0.500
W: 0.329 0.171 0.500
W: 0.671 0.829 0.500
W: 0.829 0.329 0.500

Space-group type: P4/mbm
Energy of formation from the pure elements in eV per atom: 0.27

***

(3)
This record from Alexandria describes crystalline ZrPt2Cl at its relaxed geometry. The functional is PBE-GGA.

a b c (Å): 2.970 2.970 8.892
angles (deg): 90.00 90.00 90.00
Positions (direct):
Zr: 0.000 0.000 0.000
Pt: 0.000 0.000 0.563
Pt: 0.500 0.500 0.781
Cl: 0.500 0.500 0.188

Space-group type: P4mm
Formation energy from raw total energies in meV per atom: -479

***

(4)
This record from Alexandria describes crystalline Ac6Ga2Sn at its relaxed geometry. The functional is PBE-GGA.

a b c (Å): 9.533 9.533 9.533
angles (deg): 112.47 110.08 105.93
Positions (direct):
Ac: 0.039 0.237 0.802
Ac: 0.179 0.277 0.456
Ac: 0.179 0.723 0.902
Ac: 0.326 0.028 0.702
Ac: 0.326 0.624 0.298
Ac: 0.435 0.237 0.198
Ac: 0.565 0.763 0.802
Ac: 0.674 0.376 0.702
Ac: 0.674 0.972 0.298
Ac: 0.821 0.277 0.098
Ac: 0.821 0.723 0.544
Ac: 0.961 0.763 0.198
Ga: 0.115 0.615 0.500
Ga: 0.366 0.000 0.366
Ga: 0.634 0.000 0.634
Ga: 0.885 0.385 0.500
Sn: 0.000 0.000 0.000
Sn: 0.500 0.500 0.000

Space-group type: Immm
Energy of formation from the pure elements in eV per atom: -0.39

***

DFT total energy (eV per atom)
-4.61 -9.71 -6.10 -4.24
Calculated volume (Å³/cell)
383.4 131.2 78.5 664.7
Total moment (μB per formula unit)
0.000 0.000 0.000 0.000